[1]
This record from OQMD describes a relaxed SrLiErSe3 crystal. The functional is PBE.

- M_tot (μB per formula unit) = 0.0
- DFT total energy (eV per cell) = -58.76
- crystal system = orthorhombic

Structure (extended XYZ):
```
12
Lattice="-1.488 2.911 -6.299 -0.141 -5.904 3.936 -9.703 2.544 3.468" Properties=species:S:1:pos:R:3 pbc="T T T"
Sr -3.579 1.351 -2.883
Sr -7.754 -1.801 3.988
Se -1.244 -2.542 0.438
Se -10.089 2.092 0.667
Se -4.868 -1.592 1.734
Se -8.659 4.125 -2.893
Se -6.464 1.142 -0.629
Se -2.673 -4.574 3.997
Er -4.851 1.272 1.734
Er 0.000 0.000 0.000
Li -3.207 -1.079 -0.061
Li -8.125 0.630 1.165
```

=====

[2]
This record from OQMD describes a relaxed YCdGaFe crystal. The functional is PBE.

- M_tot (μB per formula unit) = 2.2
- DFT total energy (eV per cell) = -18.45
- crystal system = cubic

Structure (extended XYZ):
```
4
Lattice="0.000 3.380 3.380 3.380 0.000 3.380 3.380 3.380 0.000" Properties=species:S:1:pos:R:3 pbc="T T T"
Cd 1.690 1.690 1.690
Ga 0.000 0.000 0.000
Fe 5.070 5.070 5.070
Y 3.380 3.380 3.380
```

=====

[3]
This record from OQMD describes a relaxed TbSiGePt2 crystal. The functional is PBE.

- M_tot (μB per formula unit) = 0.0
- DFT total energy (eV per cell) = -63.61
- crystal system = tetragonal

Structure (extended XYZ):
```
10
Lattice="4.244 0.000 0.000 0.000 4.244 0.000 0.000 0.000 10.097" Properties=species:S:1:pos:R:3 pbc="T T T"
Tb 0.000 2.122 2.493
Tb 2.122 0.000 7.604
Pt 2.122 0.000 3.630
Pt 0.000 2.122 6.467
Pt 0.000 0.000 0.000
Pt 2.122 2.122 0.000
Ge 0.000 0.000 5.048
Ge 2.122 2.122 5.048
Si 2.122 0.000 1.282
Si 0.000 2.122 8.814
```

=====

[4]
This record from OQMD describes a relaxed Ta2NiPd crystal. The functional is PBE.

- M_tot (μB per formula unit) = 1.5
- DFT total energy (eV per cell) = -34.23
- crystal system = cubic

Structure (extended XYZ):
```
4
Lattice="3.753 -2.372 -0.386 1.623 -2.192 3.524 -0.155 -4.452 0.121" Properties=species:S:1:pos:R:3 pbc="T T T"
Ta 0.000 0.000 0.000
Ta 1.305 -2.254 0.815
Ni 2.610 -4.508 1.629
Pd 3.916 -6.761 2.444
```

=====

[5]
This record from OQMD describes a relaxed FeCoTcB crystal. The functional is PBE.

- M_tot (μB per formula unit) = 2.9
- DFT total energy (eV per cell) = -31.85
- crystal system = cubic

Structure (extended XYZ):
```
4
Lattice="-2.684 -0.979 2.691 -3.607 1.536 -0.177 -3.048 -2.260 -1.001" Properties=species:S:1:pos:R:3 pbc="T T T"
Tc -2.335 -0.426 0.378
Fe -4.670 -0.852 0.756
B 0.000 0.000 0.000
Co -7.004 -1.278 1.134
```

=====

[6]
This record from OQMD describes a relaxed LuPaSi crystal. The functional is PBE.

- M_tot (μB per formula unit) = 1.0
- DFT total energy (eV per cell) = -19.54
- crystal system = cubic

Structure (extended XYZ):
```
3
Lattice="0.000 3.353 3.353 3.353 0.000 3.353 3.353 3.353 0.000" Properties=species:S:1:pos:R:3 pbc="T T T"
Si 0.000 0.000 0.000
Pa 5.030 5.030 5.030
Lu 1.677 1.677 1.677
```

=====

[7]
This record from OQMD describes a relaxed TbMo crystal. The functional is PBE.

- M_tot (μB per formula unit) = 0.0
- DFT total energy (eV per cell) = -12.76
- crystal system = cubic

Structure (extended XYZ):
```
2
Lattice="0.000 2.875 2.875 2.875 0.000 2.875 2.875 2.875 0.000" Properties=species:S:1:pos:R:3 pbc="T T T"
Mo 0.000 0.000 0.000
Tb 2.875 2.875 2.875
```

=====

[8]
This record from OQMD describes a relaxed Pm2Dy crystal. The functional is PBE.

- M_tot (μB per formula unit) = 0.0
- DFT total energy (eV per cell) = -14.53
- crystal system = cubic

Structure (extended XYZ):
```
6
Lattice="-1.326 5.814 6.827 6.483 5.933 2.224 -1.149 8.825 -1.721" Properties=species:S:1:pos:R:3 pbc="T T T"
Dy 1.002 5.143 1.832
Dy 2.004 10.286 3.665
Pm 4.744 10.681 3.861
Pm 0.929 12.128 1.888
Pm 1.503 7.715 2.749
Pm 0.840 10.622 6.162
```